1.
! PBE AlInIrPd, optimized geometry; values from VASP
&SYSTEM
  ibrav = 0, nat = 4, ntyp = 4
/
ATOMIC_SPECIES
Al 26.98 Al.upf
In 114.82 In.upf
Ir 192.22 Ir.upf
Pd 106.42 Pd.upf
ATOMIC_POSITIONS angstrom
Al 0.000 0.000 0.000
In 3.173 3.173 3.173
Ir 1.587 1.587 1.587
Pd 4.760 4.760 4.760
CELL_PARAMETERS angstrom
0.000 3.173 3.173
3.173 0.000 3.173
3.173 3.173 0.000
! * space group: F-43m, No. 216
! * crystal system: cubic
! * calculated total energy: -5.627 eV per atom



2.
! PBE AlInIrRh, optimized geometry; values from VASP
&SYSTEM
  ibrav = 0, nat = 4, ntyp = 4
/
ATOMIC_SPECIES
Al 26.98 Al.upf
In 114.82 In.upf
Ir 192.22 Ir.upf
Rh 102.91 Rh.upf
ATOMIC_POSITIONS angstrom
Al 0.000 0.000 0.000
In 3.139 3.139 3.139
Ir 4.708 4.708 4.708
Rh 1.569 1.569 1.569
CELL_PARAMETERS angstrom
0.000 3.139 3.139
3.139 0.000 3.139
3.139 3.139 0.000
! * space group: F-43m, No. 216
! * crystal system: cubic
! * calculated total energy: -6.208 eV per atom



3.
! PBE AlInIrRu, optimized geometry; values from VASP
&SYSTEM
  ibrav = 0, nat = 4, ntyp = 4
/
ATOMIC_SPECIES
Al 26.98 Al.upf
In 114.82 In.upf
Ir 192.22 Ir.upf
Ru 101.07 Ru.upf
ATOMIC_POSITIONS angstrom
Al 0.000 0.000 0.000
In 3.133 3.133 3.133
Ir 1.566 1.566 1.566
Ru 4.699 4.699 4.699
CELL_PARAMETERS angstrom
0.000 3.133 3.133
3.133 0.000 3.133
3.133 3.133 0.000
! * space group: F-43m, No. 216
! * crystal system: cubic
! * calculated total energy: -6.509 eV per atom



4.
! PBE Al2InSiIr, optimized geometry; values from VASP
&SYSTEM
  ibrav = 0, nat = 5, ntyp = 4
/
ATOMIC_SPECIES
Al 26.98 Al.upf
In 114.82 In.upf
Si 28.09 Si.upf
Ir 192.22 Ir.upf
ATOMIC_POSITIONS angstrom
Al 0.000 2.463 0.000
Al 2.463 0.000 0.000
In 0.000 0.000 0.000
Si 2.463 2.463 2.485
Ir 0.000 0.000 2.485
CELL_PARAMETERS angstrom
4.925 0.000 0.000
0.000 4.925 0.000
0.000 0.000 4.971
! * raw formation energy: 7.06 eV/f.u.
! * space group: P4/mmm, No. 123
! * crystal system: tetragonal



5.
! PBE AlInSn2Ir, optimized geometry; values from VASP
&SYSTEM
  ibrav = 0, nat = 5, ntyp = 4
/
ATOMIC_SPECIES
Al 26.98 Al.upf
In 114.82 In.upf
Sn 118.71 Sn.upf
Ir 192.22 Ir.upf
ATOMIC_POSITIONS angstrom
Al 0.000 0.000 0.000
In 2.569 2.569 0.000
Sn 0.000 2.569 2.594
Sn 2.569 0.000 2.594
Ir 2.569 2.569 2.594
CELL_PARAMETERS angstrom
5.138 0.000 0.000
0.000 5.138 0.000
0.000 0.000 5.189
! * space group: P4/mmm, No. 123
! * crystal system: tetragonal
! * calculated total energy: -4.413 eV per atom



6.
! PBE KAl2In, optimized geometry; values from VASP
&SYSTEM
  ibrav = 0, nat = 4, ntyp = 3
/
ATOMIC_SPECIES
K 39.10 K.upf
Al 26.98 Al.upf
In 114.82 In.upf
ATOMIC_POSITIONS angstrom
K 0.000 0.000 0.000
Al 1.591 0.000 5.313
Al 4.134 0.000 4.259
In 6.677 0.000 2.570
CELL_PARAMETERS angstrom
4.557 -1.536 0.000
4.557 1.536 0.000
-0.847 0.000 7.790
! * space group: Cm, No. 8
! * crystal system: monoclinic
! * calculated total energy: -2.706 eV per atom



7.
! PBE KAlIn, optimized geometry; values from VASP
&SYSTEM
  ibrav = 0, nat = 3, ntyp = 3
/
ATOMIC_SPECIES
K 39.10 K.upf
Al 26.98 Al.upf
In 114.82 In.upf
ATOMIC_POSITIONS angstrom
K 0.000 0.000 0.000
Al 1.715 0.990 2.922
In 0.000 1.981 5.329
CELL_PARAMETERS angstrom
3.431 0.000 0.000
-1.715 2.971 0.000
0.000 0.000 8.378
! * space group: P3m1, No. 156
! * crystal system: trigonal
! * polymorph energy (0 for the lowest one): 46 kJ/mol of formula units



8.
! PBE K2AlIn2, optimized geometry; values from VASP
&SYSTEM
  ibrav = 0, nat = 10, ntyp = 3
/
ATOMIC_SPECIES
K 39.10 K.upf
Al 26.98 Al.upf
In 114.82 In.upf
ATOMIC_POSITIONS angstrom
K 1.337 2.395 0.000
K 2.395 6.127 0.000
K 5.070 1.337 0.000
K 6.127 5.070 0.000
Al 0.000 0.000 3.019
Al 3.732 3.732 3.019
In 1.049 4.781 3.019
In 2.683 1.049 3.019
In 4.781 6.415 3.019
In 6.415 2.683 3.019
CELL_PARAMETERS angstrom
7.465 0.000 0.000
0.000 7.465 0.000
0.000 0.000 6.039
! * space group: P4/mbm, No. 127
! * crystal system: tetragonal
! * calculated total energy: -2.229 eV per atom



Please write out number 7 again, unchanged.
! PBE KAlIn, optimized geometry; values from VASP
&SYSTEM
  ibrav = 0, nat = 3, ntyp = 3
/
ATOMIC_SPECIES
K 39.10 K.upf
Al 26.98 Al.upf
In 114.82 In.upf
ATOMIC_POSITIONS angstrom
K 0.000 0.000 0.000
Al 1.715 0.990 2.922
In 0.000 1.981 5.329
CELL_PARAMETERS angstrom
3.431 0.000 0.000
-1.715 2.971 0.000
0.000 0.000 8.378
! * space group: P3m1, No. 156
! * crystal system: trigonal
! * polymorph energy (0 for the lowest one): 46 kJ/mol of formula units